Computed, not measured: a geometry-optimized BaLiHoTl structure at the GGA-PBE level of DFT.

```
BaLiHoTl
1.0
5.671 0.000 0.000
2.835 4.911 0.000
2.835 1.637 4.630
Li Tl Ba Ho
1 1 1 1
Direct
0.000 0.000 0.000 Li
0.500 0.500 0.500 Tl
0.750 0.750 0.750 Ba
0.250 0.250 0.250 Ho
```

DOS at the Fermi energy	4.366	states/eV/f.u.
SG	F-43m
ΔE_f	-61.2	meV per atom

***

Computed, not measured: a geometry-optimized Ba3Li2Ho2Tl4 structure at the GGA-PBE level of DFT.

```
Ba3Li2Ho2Tl4
1.0
5.368 0.000 0.000
-2.684 4.649 0.000
0.000 0.000 15.515
Ba Tl Ho Li
3 4 2 2
Direct
0.000 0.000 0.000 Ba
0.000 0.000 0.263 Ba
0.000 0.000 0.737 Ba
0.667 0.333 0.628 Tl
0.667 0.333 0.141 Tl
0.333 0.667 0.859 Tl
0.333 0.667 0.372 Tl
0.667 0.333 0.432 Ho
0.333 0.667 0.568 Ho
0.667 0.333 0.848 Li
0.333 0.667 0.152 Li
```

DOS at the Fermi energy	12.904	states/eV/f.u.
SG	P-3m1
ΔE_f	-140.1	meV per atom

***

Computed, not measured: a geometry-optimized BaHoLu2 structure at the GGA-PBE level of DFT.

```
BaHoLu2
1.0
3.543 0.000 0.000
1.771 3.068 0.000
1.771 1.023 12.672
Ho Lu Ba
1 2 1
Direct
0.500 0.500 0.500 Ho
0.094 0.094 0.718 Lu
0.906 0.906 0.282 Lu
0.000 0.000 0.000 Ba
```

DOS at the Fermi energy	5.888	states/eV/f.u.
SG	R-3m
ΔE_f	258.5	meV per atom

***

Computed, not measured: a geometry-optimized Ba2HoMg structure at the GGA-PBE level of DFT.

```
Ba2HoMg
1.0
3.755 0.000 0.000
1.878 3.252 0.000
1.878 1.084 13.258
Mg Ba Ho
1 2 1
Direct
0.500 0.500 0.500 Mg
0.911 0.911 0.268 Ba
0.089 0.089 0.732 Ba
0.000 0.000 0.000 Ho
```

DOS at the Fermi energy	5.015	states/eV/f.u.
SG	R-3m
ΔE_f	369.3	meV per atom

***

Computed, not measured: a geometry-optimized BaHoMg2 structure at the GGA-PBE level of DFT.

```
BaHoMg2
1.0
-3.314 -4.642 0.404
-0.196 -2.956 4.890
-4.716 0.126 3.230
Ba Mg Ho
1 2 1
Direct
0.500 0.500 0.500 Ba
0.750 0.750 0.750 Mg
0.250 0.250 0.250 Mg
0.000 0.000 0.000 Ho
```

offset from the most stable computed form	0.079	eV/atom
DOS at the Fermi energy	4.706	states/eV/f.u.
SG	Fm-3m
ΔE_f	59.5	meV per atom

***

Computed, not measured: a geometry-optimized BaHoMg structure at the GGA-PBE level of DFT.

```
BaHoMg
1.0
3.875 0.000 0.000
0.000 3.875 0.000
-1.937 -1.937 14.964
Mg Ho Ba
2 2 2
Direct
0.153 0.153 0.307 Mg
0.847 0.847 0.693 Mg
0.714 0.714 0.429 Ho
0.286 0.286 0.571 Ho
0.432 0.432 0.863 Ba
0.568 0.568 0.137 Ba
```

offset from the most stable computed form	0.000	eV/atom
DOS at the Fermi energy	3.135	states/eV/f.u.
SG	I4/mmm
ΔE_f	37.7	meV per atom

***

Question: The highest DOS at the Fermi energy belongs to which entry?
Answer: Ba3Li2Ho2Tl4